No. 1
DFT (PBE) results for a relaxed structure of LaNd6SmTm2.

## Properties
crystal system	monoclinic
M_tot	0.0	μB/f.u.

a = 9.3720 Å, b = 15.2705 Å, c = 9.7756 Å
α = 90.00°, β = 97.68°, γ = 90.00°
Closest atoms and distances in Å follow each position.
Space group C2/c (No. 15)
One atom of each set of equivalent atoms:
La (0.0000, 0.0941, 0.2500) x4  6 Nd 3.51-3.61, 2 Tm 3.61
Nd (0.0664, 0.3263, 0.4437) x8  7 Nd 3.46-3.84, 2 Tm 3.50-3.85, 2 Sm 3.69-3.80
Nd (0.0952, 0.1086, 0.6197) x8  3 Nd 3.28-3.46, 3 Tm 3.37-3.51, 2 La 3.51-3.61
Nd (0.2102, 0.2735, 0.8194) x8  2 Nd 3.28-3.58, 1 Tm 3.52, 1 La 3.52, 1 Sm 3.57
Sm (0.0000, 0.4671, 0.7500) x4  4 Tm 3.44-3.47, 6 Nd 3.57-3.80
Tm (0.2445, 0.4521, 0.0488) x8  6 Nd 3.37-3.68, 2 Sm 3.44-3.47, 1 La 3.61


No. 2
DFT (PBE) results for a relaxed structure of CrCuNi2.

## Properties
crystal system	trigonal
M_tot	0.0	μB/f.u.

a = 2.5036 Å, b = 2.5036 Å, c = 24.8368 Å
α = 90.00°, β = 90.00°, γ = 120.00°
Closest atoms and distances in Å follow each position.
Space group R-3m (No. 166, hexagonal axes)
One atom of each set of equivalent atoms:
Cr (0.0000, 0.0000, 0.0000) x3  6 Ni 2.49, 6 Cr 2.50
Cu (0.0000, 0.0000, 0.5000) x3  6 Cu 2.50, 6 Ni 2.56
Ni (0.0000, 0.0000, 0.2515) x6  3 Cr 2.49, 6 Ni 2.50, 3 Cu 2.56


No. 3
DFT (PBE) results for a relaxed structure of Tm5Mg4Hg.

## Properties
crystal system	tetragonal
M_tot	0.0	μB/f.u.

a = 3.7486 Å, b = 3.7486 Å, c = 18.5234 Å
α = 90.00°, β = 90.00°, γ = 90.00°
Closest atoms and distances in Å follow each position.
Space group P4/mmm (No. 123)
One atom of each set of equivalent atoms:
Tm (0.0000, 0.0000, 0.0000) x1  8 Mg 3.25
Tm (0.0000, 0.0000, 0.2023) x2  8 Mg 3.22-3.25
Tm (0.0000, 0.0000, 0.4039) x2  4 Hg 3.19, 4 Mg 3.27, 1 Tm 3.56
Mg (0.5000, 0.5000, 0.1011) x2  8 Tm 3.25
Mg (0.5000, 0.5000, 0.3010) x2  8 Tm 3.22-3.27
Hg (0.5000, 0.5000, 0.5000) x1  8 Tm 3.19


Calculated formation energy values (in eV per atom) by entry order: 0.111, 0.051, -0.144.
Fermi-level density of states values (in states/eV/f.u.) by entry order: 14.6, 4.8, 11.6.
Total energy values (in eV per atom) by entry order: -4.6083, -6.2700, -3.0480.